## 1
First-principles (PBE-GGA) data for a relaxed CuAg4 crystal, as listed in the Open Quantum Materials Database.

a = 10.3333 Å, b = 10.3333 Å, c = 4.0474 Å
α = 90.00°, β = 90.00°, γ = 157.11°
Last column: nearest neighbours and their distance in Å.
Atoms (fractional coordinates):
Cu 0.2043 0.7957 0.0000  10 Ag 2.75-2.88, 2 Cu 2.76
Cu 0.7957 0.2043 0.0000  10 Ag 2.75-2.88, 2 Cu 2.76
Ag 0.5000 0.5000 0.5000  12 Ag 2.88-2.97
Ag 0.2960 0.7040 0.5000  6 Cu 2.75-2.88, 6 Ag 2.77-2.86
Ag 0.6054 0.3946 0.0000  10 Ag 2.84-2.96, 2 Cu 2.87
Ag 0.0000 0.0000 0.0000  12 Ag 2.88-2.96
Ag 0.8942 0.1058 0.5000  2 Cu 2.84, 10 Ag 2.86-2.97
Ag 0.3946 0.6054 0.0000  10 Ag 2.84-2.96, 2 Cu 2.87
Ag 0.7040 0.2960 0.5000  6 Cu 2.75-2.88, 6 Ag 2.77-2.86
Ag 0.1058 0.8942 0.5000  2 Cu 2.84, 10 Ag 2.86-2.97

=====

## 2
First-principles (PBE-GGA) data for a relaxed CuAg4 crystal, as listed in the Open Quantum Materials Database.

a = 4.9648 Å, b = 2.8878 Å, c = 11.7531 Å
α = 90.00°, β = 97.41°, γ = 90.00°
Last column: nearest neighbours and their distance in Å.
Atoms (fractional coordinates):
Ag 0.9490 0.2500 0.1065  2 Cu 2.80, 10 Ag 2.85-2.99
Ag 0.6513 0.7500 0.6965  8 Ag 2.81-2.89, 4 Cu 2.86-2.89
Ag 0.2452 0.7500 0.5059  3 Cu 2.78-2.90, 9 Ag 2.81-2.93
Ag 0.5474 0.2500 0.8972  11 Ag 2.85-2.96, 1 Cu 2.86
Ag 0.4526 0.7500 0.1028  11 Ag 2.85-2.96, 1 Cu 2.86
Ag 0.3487 0.2500 0.3035  8 Ag 2.81-2.89, 4 Cu 2.86-2.89
Ag 0.0510 0.7500 0.8935  2 Cu 2.80, 10 Ag 2.85-2.99
Ag 0.7548 0.2500 0.4941  3 Cu 2.78-2.90, 9 Ag 2.81-2.93
Cu 0.1489 0.2500 0.6990  10 Ag 2.78-2.90, 2 Cu 2.89
Cu 0.8511 0.7500 0.3010  10 Ag 2.78-2.90, 2 Cu 2.89

=====

1 has the most favorable energy; the next structure is 0.008 eV/atom above.

=====

## 1
First-principles (PBE-GGA) data for a relaxed HfNbP crystal, as listed in the Open Quantum Materials Database.

a = 4.5574 Å, b = 4.5574 Å, c = 5.6053 Å
α = 90.00°, β = 90.00°, γ = 120.00°
Last column: nearest neighbours and their distance in Å.
Atoms (fractional coordinates):
P 0.3333 0.6667 0.4861  4 Nb 2.64, 3 Hf 2.95
P 0.6667 0.3333 0.9861  4 Nb 2.64, 3 Hf 2.95
Hf 0.0000 0.0000 0.2490  2 Hf 2.80, 6 Nb 2.94-3.02, 6 P 2.95-3.02
Hf 0.0000 0.0000 0.7490  2 Hf 2.80, 6 Nb 2.94-3.02, 6 P 2.95-3.02
Nb 0.6667 0.3333 0.5149  4 P 2.64, 3 Hf 2.94
Nb 0.3333 0.6667 0.0149  4 P 2.64, 3 Hf 2.94

Properties
The calculation puts the total magnetization at 0.1 μB per cell.

=====

## 2
First-principles (PBE-GGA) data for a relaxed HfNbP crystal, as listed in the Open Quantum Materials Database.

a = 7.0891 Å, b = 7.0891 Å, c = 3.5129 Å
α = 90.00°, β = 90.00°, γ = 120.00°
Last column: nearest neighbours and their distance in Å.
Atoms (fractional coordinates):
P 0.0000 0.0000 0.5000  6 Hf 2.55
P 0.6667 0.3333 0.0000  3 Hf 2.66, 6 Nb 2.76
P 0.3333 0.6667 0.0000  3 Hf 2.66, 6 Nb 2.76
Nb 0.0000 0.5829 0.5000  5 P 2.76-2.96, 2 Hf 2.88
Nb 0.5829 0.0000 0.5000  5 P 2.76-2.96, 2 Hf 2.88
Nb 0.4171 0.4171 0.5000  5 P 2.76-2.96, 2 Hf 2.88
Hf 0.2604 0.0000 0.0000  4 P 2.55-2.66
Hf 0.0000 0.2604 0.0000  4 P 2.55-2.66
Hf 0.7396 0.7396 0.0000  4 P 2.55-2.66

Properties
The calculation puts the total magnetization at 0.2 μB per cell.

=====

2 has the most favorable energy; the next structure is 0.321 eV/atom above.

=====

## 1
First-principles (PBE-GGA) data for a relaxed RbHoSeO crystal, as listed in the Open Quantum Materials Database.

a = 4.5377 Å, b = 8.4477 Å, c = 6.7268 Å
α = 90.00°, β = 90.00°, γ = 90.00°
Last column: nearest neighbours and their distance in Å.
Atoms (fractional coordinates):
Ho 0.5000 0.1174 0.5373  2 O 2.09-2.10
Ho 0.5000 0.8826 0.0373  2 O 2.09-2.10
O 0.5000 0.0769 0.2292  2 Ho 2.09-2.10
O 0.5000 0.9231 0.7292  2 Ho 2.09-2.10
Rb 0.0000 0.6986 0.6096  2 O 3.06, 3 Se 3.33-3.42
Rb 0.0000 0.3014 0.1096  2 O 3.06, 3 Se 3.33-3.42
Se 0.0000 0.2936 0.6149  2 Ho 2.76
Se 0.0000 0.7064 0.1149  2 Ho 2.76

Properties
The calculation puts the total magnetization at 0.0 μB per cell.

=====

## 2
First-principles (PBE-GGA) data for a relaxed RbHoSeO crystal, as listed in the Open Quantum Materials Database.

a = 7.7070 Å, b = 7.7070 Å, c = 7.7070 Å
α = 28.41°, β = 28.41°, γ = 28.41°
Last column: nearest neighbours and their distance in Å.
Atoms (fractional coordinates):
Rb 0.0065 0.0065 0.0065  3 O 3.16, 3 Se 3.24
Se 0.2320 0.2320 0.2320  3 Ho 2.81
Ho 0.4853 0.4853 0.4853  3 O 2.38
O 0.7762 0.7762 0.7762  3 Ho 2.38

Properties
The calculation puts the total magnetization at 0.0 μB per cell.

=====

1 has the most favorable energy; the next structure is 0.082 eV/atom above.

=====

## 1
First-principles (PBE-GGA) data for a relaxed BePtNO crystal, as listed in the Open Quantum Materials Database.

a = 5.2290 Å, b = 2.7183 Å, c = 5.5953 Å
α = 90.00°, β = 90.00°, γ = 90.00°
Last column: nearest neighbours and their distance in Å.
Atoms (fractional coordinates):
N 0.3757 0.0000 0.6942  2 Be 1.76-1.85
N 0.8757 0.0000 0.3058  2 Be 1.76-1.85
Be 0.5433 0.0000 0.4215  2 O 1.60, 1 N 1.76
Be 0.0433 0.0000 0.5785  2 O 1.60, 1 N 1.76
Pt 0.9081 0.5000 0.0417  2 N 2.01, 1 O 2.02
Pt 0.4081 0.5000 0.9583  2 N 2.01, 1 O 2.02
O 0.4269 0.5000 0.3192  2 Be 1.60
O 0.9269 0.5000 0.6808  2 Be 1.60

Properties
The calculation puts the total magnetization at 0.0 μB per cell.

=====

## 2
First-principles (PBE-GGA) data for a relaxed BePtNO crystal, as listed in the Open Quantum Materials Database.

a = 5.3742 Å, b = 6.0387 Å, c = 4.9217 Å
α = 90.00°, β = 90.00°, γ = 90.00°
Last column: nearest neighbours and their distance in Å.
Atoms (fractional coordinates):
O 0.6559 0.5131 0.3098  3 Be 1.62-1.70
O 0.1559 0.4869 0.3098  3 Be 1.62-1.70
O 0.8441 0.5131 0.8098  3 Be 1.62-1.70
O 0.3441 0.4869 0.8098  3 Be 1.62-1.70
Pt 0.8226 0.8661 0.3771  3 N 2.01-2.06
Pt 0.1774 0.1339 0.8771  3 N 2.01-2.06
Pt 0.6774 0.8661 0.8771  3 N 2.01-2.06
Pt 0.3226 0.1339 0.3771  3 N 2.01-2.06
N 0.9660 0.1471 0.5289  1 Be 1.75
N 0.0340 0.8529 0.0289  1 Be 1.75
N 0.5340 0.1471 0.0289  1 Be 1.75
N 0.4660 0.8529 0.5289  1 Be 1.75
Be 0.1084 0.5723 0.9866  3 O 1.62-1.70, 1 N 1.75
Be 0.8916 0.4277 0.4866  3 O 1.62-1.70, 1 N 1.75
Be 0.3916 0.5723 0.4866  3 O 1.62-1.70, 1 N 1.75
Be 0.6084 0.4277 0.9866  3 O 1.62-1.70, 1 N 1.75

Properties
The calculation puts the total magnetization at 0.0 μB per cell.

=====

2 has the most favorable energy; the next structure is 0.143 eV/atom above.

=====

## 1
First-principles (PBE-GGA) data for a relaxed GdCuSnS3 crystal, as listed in the Open Quantum Materials Database.

a = 7.9279 Å, b = 4.0372 Å, c = 15.5305 Å
α = 90.00°, β = 90.00°, γ = 90.00°
Last column: nearest neighbours and their distance in Å.
Atoms (fractional coordinates):
Gd 0.2449 0.2500 0.4605  7 S 2.72-3.02
Gd 0.7449 0.2500 0.0395  7 S 2.72-3.02
Gd 0.7551 0.7500 0.5395  7 S 2.72-3.02
Gd 0.2551 0.7500 0.9605  7 S 2.72-3.02
Sn 0.4137 0.7500 0.2268  5 S 2.80-2.95
Sn 0.5863 0.2500 0.7732  5 S 2.80-2.95
Sn 0.0863 0.2500 0.7268  5 S 2.80-2.95
Sn 0.9137 0.7500 0.2732  5 S 2.80-2.95
S 0.6853 0.2500 0.2191  1 Cu 2.41
S 0.5168 0.2500 0.5962  2 Cu 2.37
S 0.0168 0.2500 0.9038  2 Cu 2.37
S 0.3800 0.2500 0.0593  1 Cu 2.30
S 0.1200 0.7500 0.5593  1 Cu 2.30
S 0.8800 0.2500 0.4407  1 Cu 2.30
S 0.6200 0.7500 0.9407  1 Cu 2.30
S 0.3147 0.7500 0.7809  1 Cu 2.41
S 0.4832 0.7500 0.4038  2 Cu 2.37
S 0.9832 0.7500 0.0962  2 Cu 2.37
S 0.1853 0.2500 0.2809  1 Cu 2.41
S 0.8147 0.7500 0.7191  1 Cu 2.41
Cu 0.6248 0.2500 0.3709  4 S 2.30-2.41
Cu 0.8752 0.7500 0.8709  4 S 2.30-2.41
Cu 0.3752 0.7500 0.6291  4 S 2.30-2.41
Cu 0.1248 0.2500 0.1291  4 S 2.30-2.41

Properties
The calculation puts the total magnetization at 0.0 μB per cell.

=====

## 2
First-principles (PBE-GGA) data for a relaxed GdCuSnS3 crystal, as listed in the Open Quantum Materials Database.

a = 6.7109 Å, b = 6.7109 Å, c = 10.3207 Å
α = 90.00°, β = 90.00°, γ = 33.84°
Last column: nearest neighbours and their distance in Å.
Atoms (fractional coordinates):
Sn 0.7577 0.7577 0.2500  6 S 2.98-3.00
Sn 0.2423 0.2423 0.7500  6 S 2.98-3.00
Cu 0.5287 0.5287 0.7500  4 S 2.33-2.40
Cu 0.4713 0.4713 0.2500  4 S 2.33-2.40
S 0.6408 0.6408 0.5723  1 Cu 2.33
S 0.6408 0.6408 0.9277  1 Cu 2.33
S 0.9199 0.9199 0.7500  2 Cu 2.40
S 0.0801 0.0801 0.2500  2 Cu 2.40
S 0.3592 0.3592 0.4277  1 Cu 2.33
S 0.3592 0.3592 0.0723  1 Cu 2.33
Gd 0.0000 0.0000 0.0000  6 S 2.76-2.78
Gd 0.0000 0.0000 0.5000  6 S 2.76-2.78

Properties
The calculation puts the total magnetization at 0.0 μB per cell.

=====

2 has the most favorable energy; the next structure is 0.008 eV/atom above.

=====

## 1
First-principles (PBE-GGA) data for a relaxed Li3TaO4 crystal, as listed in the Open Quantum Materials Database.

a = 6.4224 Å, b = 5.5376 Å, c = 4.8943 Å
α = 90.00°, β = 90.00°, γ = 90.00°
Last column: nearest neighbours and their distance in Å.
Atoms (fractional coordinates):
Ta 0.5000 0.3345 0.9944  4 O 1.86-1.87
Ta 0.0000 0.6655 0.4944  4 O 1.86-1.87
Li 0.2460 0.1619 0.4872  4 O 1.92-1.97
Li 0.5000 0.6829 0.4884  4 O 1.92-2.01
Li 0.7460 0.8381 0.9872  4 O 1.92-1.97
Li 0.0000 0.3171 0.9884  4 O 1.92-2.01
Li 0.7540 0.1619 0.4872  4 O 1.92-1.97
Li 0.2540 0.8381 0.9872  4 O 1.92-1.97
O 0.2602 0.1723 0.8832  1 Ta 1.86, 3 Li 1.92-1.94
O 0.5000 0.6561 0.8839  1 Ta 1.86, 3 Li 1.94
O 0.7602 0.8277 0.3832  1 Ta 1.86, 3 Li 1.92-1.94
O 0.2398 0.8277 0.3832  1 Ta 1.86, 3 Li 1.92-1.94
O 0.7398 0.1723 0.8832  1 Ta 1.86, 3 Li 1.92-1.94
O 0.0000 0.6658 0.8767  1 Ta 1.87, 3 Li 1.97-2.01
O 0.5000 0.3342 0.3767  1 Ta 1.87, 3 Li 1.97-2.01
O 0.0000 0.3439 0.3839  1 Ta 1.86, 3 Li 1.94

Properties
The calculation puts the total magnetization at 0.0 μB per cell.

=====

## 2
First-principles (PBE-GGA) data for a relaxed Li3TaO4 crystal, as listed in the Open Quantum Materials Database.

a = 5.9829 Å, b = 5.9829 Å, c = 9.2937 Å
α = 108.73°, β = 108.73°, γ = 90.05°
Last column: nearest neighbours and their distance in Å.
Atoms (fractional coordinates):
Ta 0.7788 0.0623 0.3751  4 O 1.89-2.00
Ta 0.9377 0.2212 0.1249  4 O 1.89-2.00
Ta 0.2212 0.9377 0.6249  4 O 1.89-2.00
Ta 0.0623 0.7788 0.8751  4 O 1.89-2.00
O 0.1700 0.9474 0.1138  2 Ta 2.00-2.15, 3 Li 2.08-2.15
O 0.0526 0.8300 0.3862  2 Ta 2.00-2.15, 3 Li 2.08-2.15
O 0.2922 0.0440 0.8638  2 Ta 2.00-2.15, 3 Li 2.10-2.19
O 0.0440 0.2922 0.3638  2 Ta 2.00-2.15, 3 Li 2.10-2.19
O 0.4316 0.1795 0.6307  1 Ta 1.89, 3 Li 2.04-2.08
O 0.5735 0.3037 0.3803  1 Ta 1.90, 4 Li 2.04-2.11
O 0.9474 0.1700 0.6138  2 Ta 2.00-2.15, 3 Li 2.08-2.15
O 0.5684 0.8205 0.3693  1 Ta 1.89, 3 Li 2.04-2.08
O 0.6963 0.4265 0.1197  1 Ta 1.90, 4 Li 2.04-2.11
O 0.7078 0.9560 0.1362  2 Ta 2.00-2.15, 3 Li 2.10-2.19
O 0.1795 0.4316 0.1307  1 Ta 1.89, 3 Li 2.04-2.08
O 0.4265 0.6963 0.6197  1 Ta 1.90, 4 Li 2.04-2.11
O 0.8205 0.5684 0.8693  1 Ta 1.89, 3 Li 2.04-2.08
O 0.9560 0.7078 0.6362  2 Ta 2.00-2.15, 3 Li 2.10-2.19
O 0.3037 0.5735 0.8803  1 Ta 1.90, 4 Li 2.04-2.11
O 0.8300 0.0526 0.8862  2 Ta 2.00-2.15, 3 Li 2.08-2.15
Li 0.9415 0.6947 0.1350  6 O 2.08-2.20
Li 0.5623 0.3513 0.8752  4 O 2.04-2.05
Li 0.1961 0.4327 0.6160  6 O 2.08-2.19
Li 0.4377 0.6487 0.1248  4 O 2.04-2.05
Li 0.3053 0.0585 0.3650  6 O 2.08-2.20
Li 0.3513 0.5623 0.3752  4 O 2.04-2.05
Li 0.4327 0.1961 0.1160  6 O 2.08-2.19
Li 0.6947 0.9415 0.6350  6 O 2.08-2.20
Li 0.5673 0.8039 0.8840  6 O 2.08-2.19
Li 0.8039 0.5673 0.3840  6 O 2.08-2.19
Li 0.6487 0.4377 0.6248  4 O 2.04-2.05
Li 0.0585 0.3053 0.8650  6 O 2.08-2.20

Properties
The calculation puts the total magnetization at 0.0 μB per cell.

=====

2 has the most favorable energy; the next structure is 0.027 eV/atom above.

=====

## 1
First-principles (PBE-GGA) data for a relaxed Co3SiH crystal, as listed in the Open Quantum Materials Database.

a = 5.0561 Å, b = 5.0561 Å, c = 5.0561 Å
α = 122.15°, β = 122.15°, γ = 86.32°
Last column: nearest neighbours and their distance in Å.
Atoms (fractional coordinates):
H 0.5000 0.5000 0.0000  6 Co 1.77-1.84
H 0.0000 0.0000 0.0000  6 Co 1.77-1.84
Co 0.8036 0.6964 0.5000  2 H 1.77
Co 0.2500 0.2500 0.0000  2 H 1.84
Co 0.3036 0.8036 0.1071  2 H 1.77
Co 0.6964 0.1964 0.8929  2 H 1.77
Co 0.7500 0.7500 0.0000  2 H 1.84
Co 0.1964 0.3036 0.5000  2 H 1.77
Si 0.2500 0.7500 0.5000  8 Co 2.29-2.45
Si 0.7500 0.2500 0.5000  8 Co 2.29-2.45

Properties
The calculation puts the total magnetization at 3.5 μB per cell.

=====

## 2
First-principles (PBE-GGA) data for a relaxed Co3SiH crystal, as listed in the Open Quantum Materials Database.

a = 3.5167 Å, b = 3.5167 Å, c = 3.5167 Å
α = 90.00°, β = 90.00°, γ = 90.00°
Last column: nearest neighbours and their distance in Å.
Atoms (fractional coordinates):
Co 0.0000 0.0000 0.5000  2 H 1.76
Co 0.0000 0.5000 0.0000  2 H 1.76
Co 0.5000 0.0000 0.0000  2 H 1.76
Si 0.5000 0.5000 0.5000  12 Co 2.49
H 0.0000 0.0000 0.0000  6 Co 1.76

Properties
The calculation puts the total magnetization at 0.0 μB per cell.

=====

1 has the most favorable energy; the next structure is 0.007 eV/atom above.